No. 1
! MnSnI2, optimized geometry, DFT GGA-PBEsol; values from VASP
&SYSTEM
  ibrav = 0, nat = 4, ntyp = 3
/
ATOMIC_SPECIES
Mn 54.94 Mn.upf
Sn 118.71 Sn.upf
I 126.90 I.upf
ATOMIC_POSITIONS crystal
Mn 0.0000 0.0000 0.0000
Sn 0.5000 0.5000 0.5000
I 0.2500 0.2500 0.2500
I 0.7500 0.7500 0.7500
CELL_PARAMETERS angstrom
0.0000 3.7585 3.7585
3.7585 0.0000 3.7585
3.7585 3.7585 0.0000
! - formation energy from raw total energies (kJ/mol of atoms) = 36.9
! - space group = Fm-3m
! - N(E_F) (states/eV per atom) = 0.84


No. 2
! MnSnTe2I, optimized geometry, DFT GGA-PBEsol; values from VASP
&SYSTEM
  ibrav = 0, nat = 5, ntyp = 4
/
ATOMIC_SPECIES
Mn 54.94 Mn.upf
Sn 118.71 Sn.upf
Te 127.60 Te.upf
I 126.90 I.upf
ATOMIC_POSITIONS crystal
Mn 0.0000 0.0000 0.0000
Sn 0.5000 0.5000 0.5000
Te 0.0000 0.5000 0.5000
Te 0.5000 0.0000 0.5000
I 0.5000 0.5000 0.0000
CELL_PARAMETERS angstrom
5.6231 0.0000 0.0000
0.0000 5.6231 0.0000
0.0000 0.0000 5.7826
! - formation energy from raw total energies (kJ/mol of atoms) = 67.9
! - space group = P4/mmm
! - N(E_F) (states/eV per atom) = 0.50